Material: CaCoIrO6
Method: DFT, PBE+U
State: relaxed

Lattice parameters (Å, degrees): 5.260 5.260 8.245 90.00 90.00 120.00
Positions (direct):
Ca (0.333, 0.667, 0.250)
Ca (0.667, 0.333, 0.750)
Co (0.000, 0.000, 0.000)
Co (0.000, 0.000, 0.500)
Ir (0.333, 0.667, 0.750)
Ir (0.667, 0.333, 0.250)
O (0.050, 0.352, 0.614)
O (0.050, 0.698, 0.886)
O (0.302, 0.352, 0.886)
O (0.302, 0.950, 0.614)
O (0.352, 0.050, 0.114)
O (0.352, 0.302, 0.386)
O (0.648, 0.698, 0.614)
O (0.648, 0.950, 0.886)
O (0.698, 0.050, 0.386)
O (0.698, 0.648, 0.114)
O (0.950, 0.302, 0.114)
O (0.950, 0.648, 0.386)

Properties
* electronic total energy: -6.055 eV/atom